Crystalline K2TiF at its relaxed geometry. Source: the Alexandria database, functional GGA-PBE.

Energy relative to the lowest polymorph listed for this composition   446 meV per atom
Crystal system   cubic
Formation energy without anion corrections   0.06 eV/atom
Space group   Fm-3m, No. 225
VASP energy   -11.7 eV per formula unit

Cell: 5.9174 5.9174 5.9174 Å, 60.00 60.00 60.00°
With the nearest neighbours (Å) after each atom.
Positions (direct):
K (0.7500, 0.7500, 0.7500)  4 Ti 3.62, 4 F 3.62
K (0.2500, 0.2500, 0.2500)  4 Ti 3.62, 4 F 3.62
F (0.0000, 0.0000, 0.0000)  8 K 3.62
Ti (0.5000, 0.5000, 0.5000)  8 K 3.62

=====

Crystalline KTi3F at its relaxed geometry. Source: the Alexandria database, functional GGA-PBE.

Energy relative to the lowest polymorph listed for this composition   0 meV per atom
Crystal system   cubic
Formation energy without anion corrections   0.33 eV/atom
Space group   Pm-3m, No. 221
VASP energy   -25.0 eV per formula unit

Cell: 4.5362 4.5362 4.5362 Å, 90.00 90.00 90.00°
With the nearest neighbours (Å) after each atom.
Positions (direct):
K (0.5000, 0.5000, 0.5000)  12 Ti 3.21
Ti (0.0000, 0.0000, 0.5000)  2 F 2.27
Ti (0.5000, 0.0000, 0.0000)  2 F 2.27
Ti (0.0000, 0.5000, 0.0000)  2 F 2.27
F (0.0000, 0.0000, 0.0000)  6 Ti 2.27

=====

Crystalline KTiTl2F8 at its relaxed geometry. Source: the Alexandria database, functional GGA-PBE.

Crystal system   triclinic
Formation energy without anion corrections   -2.63 eV/atom
Space group   P-1, No. 2
VASP energy   -60.3 eV per formula unit

Cell: 5.0893 5.7757 7.0877 Å, 89.74 93.77 90.17°
With the nearest neighbours (Å) after each atom.
Positions (direct):
Tl (0.5154, 0.4997, 0.7767)  3 F 2.35-2.63
Tl (0.4846, 0.5003, 0.2233)  3 F 2.35-2.63
F (0.3247, 0.0033, 0.1378)  1 Ti 1.86
F (0.1045, 0.2354, 0.8290)  1 Ti 1.91
F (0.1074, 0.7653, 0.8321)  1 Ti 1.91
F (0.6753, 0.9967, 0.8622)  1 Ti 1.86
F (0.4948, 0.7266, 0.4995)  2 Tl 2.35-2.36, 1 F 2.62
F (0.8955, 0.7646, 0.1710)  1 Ti 1.91
F (0.8926, 0.2347, 0.1679)  1 Ti 1.91
F (0.5052, 0.2734, 0.5005)  2 Tl 2.35-2.36, 1 F 2.62
K (0.0000, 0.0000, 0.5000)  8 F 2.73-3.01
Ti (0.0000, 0.0000, 0.0000)  6 F 1.86-1.91

=====

Crystalline K2TiTlF6 at its relaxed geometry. Source: the Alexandria database, functional GGA-PBE.

Energy relative to the lowest polymorph listed for this composition   0 meV per atom
Crystal system   orthorhombic
Formation energy without anion corrections   -2.82 eV/atom
Space group   Pmmn, No. 59
VASP energy   -51.9 eV per formula unit

Cell: 6.0352 7.2786 9.0947 Å, 90.00 90.00 90.00°
With the nearest neighbours (Å) after each atom.
Positions (direct):
K (0.0000, 0.1721, 0.2885)  5 F 2.66-2.87
K (0.5000, 0.8279, 0.7885)  5 F 2.66-2.87
K (0.5000, 0.8279, 0.2115)  5 F 2.66-2.87
K (0.0000, 0.1721, 0.7115)  5 F 2.66-2.87
F (0.2432, 0.6327, 0.0000)  1 Ti 1.96
F (0.2740, 0.9883, 0.5000)  1 Ti 2.00
F (0.5000, 0.1831, 0.2780)  1 Ti 2.02
F (0.7432, 0.3673, 0.5000)  1 Ti 1.96
F (0.2568, 0.3673, 0.5000)  1 Ti 1.96
F (0.2260, 0.0117, 0.0000)  1 Ti 2.00
F (0.0000, 0.8169, 0.7780)  1 Ti 2.02
F (0.7260, 0.9883, 0.5000)  1 Ti 2.00
F (0.5000, 0.1831, 0.7220)  1 Ti 2.02
F (0.7568, 0.6327, 0.0000)  1 Ti 1.96
F (0.7740, 0.0117, 0.0000)  1 Ti 2.00
F (0.0000, 0.8169, 0.2220)  1 Ti 2.02
Tl (0.0000, 0.6844, 0.5000)  6 F 2.71-2.78
Tl (0.5000, 0.3156, 0.0000)  6 F 2.71-2.78
Ti (0.0000, 0.8106, 0.0000)  6 F 1.96-2.02
Ti (0.5000, 0.1894, 0.5000)  6 F 1.96-2.02